An optimized crystal structure of NaCa4Eu, computed with PBE-GGA.

The calculation puts the volume at 45.6 Å³ per atom. The value obtained for the final energy is -18.669 eV for the cell shown. The energy of formation from the pure elements is 0.155 eV/atom. The density of states at the Fermi level is 17.3 states/eV per cell. Its spin magnetization is 7.40 μB per cell.

Geometry as CIF:
```
data_NaCa4Eu
_space_group_name_H-M_alt 'P 1'
_space_group_IT_number 1
_space_group_name_Hall 'P 1'
_cell_length_a 7.287
_cell_length_b 7.287
_cell_length_c 7.287
_cell_angle_alpha 60.00
_cell_angle_beta 60.00
_cell_angle_gamma 60.00
loop_
_atom_site_label
_atom_site_type_symbol
_atom_site_fract_x
_atom_site_fract_y
_atom_site_fract_z
Ca1 Ca 0.625 0.124 0.625
Ca2 Ca 0.625 0.625 0.124
Ca3 Ca 0.625 0.625 0.625
Ca4 Ca 0.124 0.625 0.625
Eu1 Eu 0.000 0.000 0.000
Na1 Na 0.250 0.250 0.250
```